4
Lattice="5.400 0.000 0.000 0.000 5.400 0.000 0.000 0.000 3.884" Properties=species:S:1:pos:R:3 comment="Tb2LuCd (PBE, relaxed)" formation_enthalpy_0k_mev_per_atom=-69 total_magnetization_mub_per_cell=0.00 dos_ef_per_ev_cell=5.0 energy_ev_per_cell=-14.97 e_above_lowest_polymorph_mev_per_atom=67 vol_a3_per_cell=113.3 pbc="T T T"
Tb 0.000 2.700 0.000
Tb 2.700 0.000 0.000
Lu 0.000 0.000 1.942
Cd 2.700 2.700 1.942